The following is a PBE+U calculation of an optimized crystal structure of K3Zn2FeF9, from the Alexandria database. Values from VASP.

The structure in Quantum ESPRESSO input format:
```
&SYSTEM
  ibrav = 0, nat = 15, ntyp = 4
/
ATOMIC_SPECIES
Fe 55.84 Fe.upf
F 19.00 F.upf
K 39.10 K.upf
Zn 65.41 Zn.upf
ATOMIC_POSITIONS angstrom
Fe 0.000 0.000 3.563
F 0.000 1.724 2.381
K 0.000 3.399 4.760
Zn 2.944 1.700 5.942
F 1.493 0.862 4.745
K 2.944 1.700 2.366
F 2.944 3.375 4.745
Zn 0.000 3.399 1.184
F 4.395 0.862 4.745
F 1.472 2.549 0.000
F 1.451 4.237 2.381
F -1.451 4.237 2.381
K 0.000 0.000 0.000
F -1.472 2.549 0.000
F 2.944 0.000 0.000
CELL_PARAMETERS angstrom
5.888 0.000 0.000
-2.944 5.099 0.000
0.000 0.000 7.126
```

Computed properties:
Raw total energy   -67.132 eV per cell
Theoretical density   3.7 g/cm3
Total moment   0.27 μB/atom